(1)
Entry from the Alexandria database: a PBEsol-optimized structure of Sc2FeW (SCAN).

```
Sc2FeW
1.0
4.001 0.000 0.000
0.000 4.001 0.000
0.000 0.000 4.170
Fe Sc W
1 2 1
Cartesian
0.000 0.000 2.085
0.000 2.000 0.000
2.000 0.000 0.000
2.000 2.000 2.085
```

Values from the calculation:
As for the total DFT energy (no corrections): -28.682 eV per atom. For the total moment, the calculation gives 2.602 μB/cell.

=====

(2)
Entry from the Alexandria database: a PBEsol-optimized structure of RePtSe2 (SCAN).

```
RePtSe2
1.0
-3.346 4.043 -2.184
1.377 -1.696 -5.248
-3.101 -4.546 3.733
Re Se Pt
2 4 2
Cartesian
-3.716 0.335 -1.083
-0.984 1.174 -3.716
-0.864 -1.056 -4.503
-3.147 1.718 -2.920
-2.556 -3.136 1.809
-3.572 -1.922 -1.783
-1.354 -2.534 -2.615
0.000 0.000 0.000
```

Values from the calculation:
For the total moment, the calculation gives 0.000 μB/cell. The raw formation energy is 346.2 meV per atom.

=====

(3)
Entry from the Alexandria database: a PBEsol-optimized structure of SiTe (SCAN).

```
SiTe
1.0
4.050 0.000 0.000
0.000 4.125 0.000
-2.025 0.000 5.788
Si Te
2 2
Cartesian
2.025 3.094 1.636
0.000 1.031 4.152
2.025 3.094 4.274
0.000 1.031 1.514
```

Values from the calculation:
For the total moment, the calculation gives 0.000 μB/cell. The raw formation energy is 368.9 meV per atom.